Arrangement one

Crystalline TlNiAs2 at its relaxed geometry. Source: the Alexandria database, functional GGA-PBE.

Cell lengths 3.308, 3.308, 7.433 Å; angles 90.00, 90.00, 90.00 degrees
Space group P4mm (No. 99)
Asymmetric unit:
Tl 0.000 0.000 0.000
Ni 0.500 0.500 0.675
As 0.000 0.000 0.574
As 0.500 0.500 0.346

## Properties
The calculation puts the total magnetization at 0.0 μB/f.u.

Arrangement two

Crystalline TlNiAs2 at its relaxed geometry. Source: the Alexandria database, functional GGA-PBE.

Cell lengths 4.199, 3.999, 5.537 Å; angles 90.00, 92.71, 90.00 degrees
Space group Pm (No. 6)
Asymmetric unit:
Tl 0.000 0.000 0.000
Ni 0.627 0.500 0.291
As 0.124 0.500 0.492
As 0.535 0.000 0.504

## Properties
The calculation puts the total magnetization at 0.0 μB/f.u.

Arrangement three

Crystalline TlNiAs2 at its relaxed geometry. Source: the Alexandria database, functional GGA-PBE.

Cell lengths 6.744, 6.744, 6.744 Å; angles 90.00, 90.00, 90.00 degrees
Space group F-43m (No. 216)
Asymmetric unit:
Tl 0.000 0.000 0.000
Ni 0.250 0.250 0.750
As 0.000 0.000 0.500
As 0.250 0.250 0.250

## Properties
The calculation puts the total magnetization at 0.0 μB/f.u.

Arrangement four

Crystalline TlNiAs2 at its relaxed geometry. Source: the Alexandria database, functional GGA-PBE.

Cell lengths 3.6876, 3.6876, 20.2719 Å; angles 90.00, 90.00, 120.00 degrees
Space group R3m (No. 160, hexagonal axes)
Asymmetric unit:
Tl 0.0000 0.0000 0.0000
Ni 0.0000 0.0000 0.2457
As 0.0000 0.0000 0.5211
As 0.0000 0.0000 0.7762

## Properties
The calculation puts the total magnetization at 0.0 μB/f.u.

How do the energies compare? Relative to the most stable structure, in meV/atom: arrangement one 74; arrangement two 0; arrangement three 419; arrangement four 98.

Arrangement one

Crystalline TmNi4As at its relaxed geometry. Source: the Alexandria database, functional GGA-PBE.

Cell lengths 6.918, 6.918, 6.918 Å; angles 90.00, 90.00, 90.00 degrees
Space group F-43m (No. 216)
Asymmetric unit:
Tm 0.000 0.000 0.000
Ni 0.125 0.125 0.375
As 0.250 0.250 0.750

## Properties
The calculation puts the total magnetization at 0.0 μB/f.u.

Arrangement two

Crystalline TmNi4As at its relaxed geometry. Source: the Alexandria database, functional GGA-PBE.

Cell lengths 6.986, 3.720, 6.563 Å; angles 90.00, 90.00, 90.00 degrees
Space group Pmma (No. 51)
Asymmetric unit:
Tm 0.250 0.000 0.141
Ni 0.000 0.000 0.500
Ni 0.049 0.500 0.791
Ni 0.250 0.500 0.451
As 0.250 0.000 0.720

## Properties
The calculation puts the total magnetization at 0.0 μB/f.u.

How do the energies compare? Relative to the most stable structure, in meV/atom: arrangement one 64; arrangement two 0.

Arrangement one

Crystalline TmNi3As2 at its relaxed geometry. Source: the Alexandria database, functional GGA-PBE.

Cell lengths 14.817, 3.889, 6.987 Å; angles 90.00, 115.81, 90.00 degrees
Space group C2/m (No. 12)
Asymmetric unit:
Tm 0.149 0.000 0.069
Ni 0.046 0.000 0.386
Ni 0.101 0.500 0.682
Ni 0.187 0.500 0.440
As 0.020 0.500 0.194
As 0.196 0.000 0.701

## Properties
The calculation puts the total magnetization at 0.0 μB/f.u.

Arrangement two

Crystalline TmNi3As2 at its relaxed geometry. Source: the Alexandria database, functional GGA-PBE.

Cell lengths 15.487, 3.833, 9.372 Å; angles 90.00, 106.59, 90.00 degrees
Space group C2/m (No. 12)
Asymmetric unit:
Tm 0.000 0.000 0.000
Tm 0.155 0.000 0.700
Ni 0.000 0.500 0.500
Ni 0.044 0.000 0.341
Ni 0.123 0.500 0.201
Ni 0.177 0.500 0.969
Ni 0.216 0.000 0.388
As 0.036 0.500 0.785
As 0.141 0.500 0.457
As 0.199 0.000 0.130

## Properties
The calculation puts the total magnetization at 0.0 μB/f.u.

How do the energies compare? Relative to the most stable structure, in meV/atom: arrangement one 82; arrangement two 0.

Arrangement one

Crystalline UNi6As4 at its relaxed geometry. Source: the Alexandria database, functional GGA-PBE.

Cell lengths 6.8910, 6.8910, 3.7664 Å; angles 90.00, 90.00, 120.00 degrees
Space group P-6m2 (No. 187)
Asymmetric unit:
U 0.0000 0.0000 0.0000
Ni 0.2057 0.4113 0.5000
Ni 0.5384 0.0768 0.0000
As 0.3333 0.6667 0.0000
As 0.3738 0.1869 0.5000

## Properties
The calculation puts the total magnetization at 2.9 μB/f.u.

Arrangement two

Crystalline UNi6As4 at its relaxed geometry. Source: the Alexandria database, functional GGA-PBE.

Cell lengths 6.255, 6.255, 8.468 Å; angles 90.00, 90.00, 90.00 degrees
Space group I-42m (No. 121)
Asymmetric unit:
U 0.000 0.000 0.000
Ni 0.000 0.500 0.000
Ni 0.150 0.150 0.386
As 0.215 0.215 0.659

## Properties
The calculation puts the total magnetization at 2.5 μB/f.u.

How do the energies compare? Relative to the most stable structure, in meV/atom: arrangement one 0; arrangement two 33.